No. 1
## SiBSeBr2 (PBE-GGA)

Data for a relaxed SiBSeBr2 crystal.

Properties
Energy relative to the elements, uncorrected: 3.9 eV per formula unit
Uncorrected energy: -3.015 eV/atom
Space group: No. 123

Cell lengths 4.5607, 4.5607, 4.8337 Å; angles 90.00, 90.00, 90.00 degrees
With the nearest neighbours (Å) after each atom.
Atoms (fractional coordinates):
Si: 0.5000 0.5000 0.5000  4 Se 3.22, 8 Br 3.32
B: 0.0000 0.0000 0.0000  4 Br 2.28, 2 Se 2.42
Se: 0.0000 0.0000 0.5000  2 B 2.42
Br: 0.0000 0.5000 0.0000  2 B 2.28
Br: 0.5000 0.0000 0.0000  2 B 2.28


No. 2
## TcSe2Cl (PBE-GGA)

Data for a relaxed TcSe2Cl crystal.

Properties
Energy relative to the elements, uncorrected: -0.9 eV per formula unit
Uncorrected energy: -5.015 eV/atom
Space group: No. 6

Cell lengths 3.2400, 6.2348, 6.4797 Å; angles 65.43, 90.00, 90.00 degrees
With the nearest neighbours (Å) after each atom.
Atoms (fractional coordinates):
Cl: 0.5000 0.6272 0.6730  2 Tc 2.45
Se: 0.0000 0.9306 0.0800  1 Tc 2.25
Se: 0.5000 0.3442 0.3453  2 Tc 2.40
Tc: 0.0000 0.5980 0.4016  3 Se 2.25-2.40, 2 Cl 2.45


No. 3
## AcH8Pt2Au (PBE-GGA)

Data for a relaxed AcH8Pt2Au crystal.

Properties
Uncorrected energy: -3.970 eV/atom
Space group: No. 164

Cell lengths 4.9931, 4.9931, 6.9099 Å; angles 90.00, 90.00, 120.00 degrees
With the nearest neighbours (Å) after each atom.
Atoms (fractional coordinates):
Ac: 0.0000 0.0000 0.5000  12 H 2.85-2.90, 6 Pt 3.18
H: 0.1721 0.3442 0.8513  1 Pt 1.77, 1 Au 1.81
H: 0.1721 0.8279 0.8513  1 Pt 1.77, 1 Au 1.81
H: 0.6558 0.8279 0.8513  1 Pt 1.77, 1 Au 1.81
H: 0.3442 0.1721 0.1487  1 Pt 1.77, 1 Au 1.81
H: 0.6667 0.3333 0.5458  1 Pt 1.66
H: 0.3333 0.6667 0.4542  1 Pt 1.66
H: 0.8279 0.6558 0.1487  1 Pt 1.77, 1 Au 1.81
H: 0.8279 0.1721 0.1487  1 Pt 1.77, 1 Au 1.81
Pt: 0.3333 0.6667 0.6945  4 H 1.66-1.77
Pt: 0.6667 0.3333 0.3055  4 H 1.66-1.77
Au: 0.0000 0.0000 0.0000  6 H 1.81


No. 4
## ZrRuAu2 (PBE-GGA)

Data for a relaxed ZrRuAu2 crystal.

Properties
ΔH_f (0 K): -12 meV/atom
Uncorrected energy: -6.106 eV/atom
Space group: No. 122

Cell lengths 3.8552, 3.8552, 10.5083 Å; angles 79.43, 79.43, 90.00 degrees
With the nearest neighbours (Å) after each atom.
Atoms (fractional coordinates):
Ru: 0.0000 0.0000 0.0000  4 Zr 2.73, 4 Au 2.87
Ru: 0.7500 0.2500 0.5000  4 Zr 2.73, 4 Au 2.87
Au: 0.6332 0.1250 0.2500  4 Au 2.68-2.77, 2 Ru 2.87, 2 Zr 2.89
Au: 0.1168 0.6250 0.2500  4 Au 2.68-2.77, 2 Ru 2.87, 2 Zr 2.89
Au: 0.3750 0.3668 0.7500  4 Au 2.68-2.77, 2 Ru 2.87, 2 Zr 2.89
Au: 0.8750 0.8832 0.7500  4 Au 2.68-2.77, 2 Ru 2.87, 2 Zr 2.89
Zr: 0.5000 0.5000 0.0000  4 Ru 2.73, 4 Au 2.89
Zr: 0.2500 0.7500 0.5000  4 Ru 2.73, 4 Au 2.89